Computed, not measured: a relaxed structure of Sr5Sn2 at the GGA-PBE level of DFT. Values from VASP.

**M_tot**: 0.0 μB per cell
**ΔE to the lowest computed polymorph**: 42.4 meV per atom
**Symmetry**: Ibam, No. 72
**ΔE_f**: -0.449 eV/atom
**Crystal system**: orthorhombic
**Density of states at the Fermi level**: 5.261 states/eV/f.u.

```
&SYSTEM
  ibrav = 0, nat = 14, ntyp = 2
/
ATOMIC_SPECIES
Sr 87.62 Sr.upf
Sn 118.71 Sn.upf
CELL_PARAMETERS angstrom
6.968 0.000 -2.958
-1.540 7.622 -3.629
0.225 0.079 10.216
ATOMIC_POSITIONS angstrom
Sr -0.170 2.081 4.443
Sr 4.456 3.811 -4.033
Sr 5.823 5.620 -0.814
Sr 2.657 7.113 -3.428
Sr 2.338 5.620 0.665
Sr 0.250 1.783 0.589
Sr 0.972 3.811 -2.554
Sr 2.996 0.587 7.057
Sr 5.403 5.917 3.040
Sr 3.314 2.081 2.964
Sn 1.818 4.931 4.282
Sn -0.455 6.754 -1.071
Sn 3.835 2.769 -0.653
Sn 6.107 0.946 4.700
```